PBE-GGA InSb2AsPd, relaxed; E above lowest polymorph = 21.5 meV/atom; E = -19.14 eV/cell; uncorrected formation energy = 337.9 meV per atom
1.0
5.531 0.000 0.000
0.000 5.531 0.000
0.000 0.000 4.656
In Sb As Pd
1 2 1 1
Direct
0.000 0.000 0.000
0.000 0.500 0.500
0.500 0.000 0.500
0.500 0.500 0.500
0.500 0.500 0.000